Here is a geometry-optimized AcGaMo2O8 structure from the Alexandria database. Energies are from GGA+U.

a = 5.3826 Å, b = 5.3826 Å, c = 6.8145 Å
α = 66.74°, β = 66.74°, γ = 60.00°
Last column: nearest neighbours and their distance in Å.
Fractional coordinates of all 12 atoms:
O  0.3143  0.8835  0.1469  1 Ga 2.01, 2 Mo 2.10-2.14
O  0.1993  0.1993  0.4020  1 Mo 1.85
O  0.8007  0.8007  0.5980  1 Mo 1.85
O  0.6857  0.1165  0.8531  1 Ga 2.01, 2 Mo 2.10-2.14
O  0.3447  0.6857  0.8531  1 Ga 2.01, 2 Mo 2.10-2.14
O  0.8835  0.6553  0.1469  1 Ga 2.01, 2 Mo 2.10-2.14
O  0.6553  0.3143  0.1469  1 Ga 2.01, 2 Mo 2.10-2.14
O  0.1165  0.3447  0.8531  1 Ga 2.01, 2 Mo 2.10-2.14
Ga  0.0000  0.0000  0.0000  6 O 2.01
Ac  0.5000  0.5000  0.5000  6 O 2.64
Mo  0.3010  0.3010  0.0970  1 O 1.85
Mo  0.6990  0.6990  0.9030  1 O 1.85

Calculated values
electronic total energy = -7.01 eV per atom
DOS(E_F) = 2.36 states/eV per cell
SG = R-3, No. 148
density = 6.73 g cm⁻³